(1)
A relaxed structure of Li2Ca3Si2Au4. Source: Alexandria via LeMat-Bulk, functional GGA-PBE.

The structure belongs to space group I4/mmm (No. 139); the cell edges are 4.542, 4.542 and 23.768 Å and the angles 90.00°, 90.00° and 90.00°. The inequivalent atoms are Li at (0.000, 0.000, 0.161), Ca at (0.000, 0.000, 0.311), Ca at (0.000, 0.000, 0.500), Si at (0.000, 0.000, 0.050) and Au at (0.000, 0.500, 0.099).

The calculation puts the theoretical density at 6.63 g/cm³. As for the total magnetic moment: 0.0000 μB/atom. Its uncorrected energy is -3.537 eV per atom. As for the formation energy from raw total energies: -0.4656 eV/atom.

(2)
A relaxed structure of Ac2MgCu2. Source: Alexandria via LeMat-Bulk, functional GGA-PBE.

The structure belongs to space group P4/mbm (No. 127); the cell edges are 8.060, 8.060 and 4.192 Å and the angles 90.00°, 90.00° and 90.00°. The inequivalent atoms are Ac at (0.177, 0.323, 0.000), Mg at (0.000, 0.000, 0.500) and Cu at (0.117, 0.617, 0.500).

The calculation puts the theoretical density at 7.38 g/cm³. As for the total magnetic moment: 0.0000 μB/atom. The formation enthalpy at 0 K is -0.157 eV/atom. Its uncorrected energy is -3.758 eV per atom.

- Which of these has the lowest uncorrected energy?
  Ac2MgCu2

- Which value of theoretical density does entry 1 give?
  6.63 g/cm³